4
Lattice="0.000 3.368 3.368 3.368 0.000 3.368 3.368 3.368 0.000" Properties=species:S:1:pos:R:3 comment="PBE with a Hubbard U ZrMn2F, optimized geometry" magmom_total_mub_per_cell=7.163 vol_a3_per_cell=76 sg="Fm-3m (225)" dos_ef_per_ev_cell=2.79 e_above_lowest_polymorph_ev_per_fu=2.24 pbc="T T T"
Mn 1.684 1.684 1.684
Mn 5.052 5.052 5.052
Zr 3.368 3.368 3.368
F 0.000 0.000 0.000